# 1
Entry from Alexandria via LeMat-Bulk: a PBEsol-optimized structure of ScW (meta-GGA SCAN).

Cell: 3.2001 3.2001 7.4634 Å, 90.00 90.00 90.00°
Positions (direct):
Sc 0.2500 0.2500 0.1714
Sc 0.7500 0.7500 0.8286
W 0.2500 0.2500 0.5939
W 0.7500 0.7500 0.4061

DOS at the Fermi energy ... 0.7837 states/eV per atom
Calculated total energy ... -41.86 eV per atom
Energy of formation ... 0.21 eV per formula unit

=====

# 2
Entry from Alexandria via LeMat-Bulk: a PBEsol-optimized structure of Sc2W (meta-GGA SCAN).

Cell: 7.4836 7.4836 7.4836 Å, 158.04 158.04 31.25°
Positions (direct):
Sc 0.1520 0.1520 0.0000
Sc 0.8480 0.8480 0.0000
W 0.5000 0.5000 0.0000

DOS at the Fermi energy ... 1.0371 states/eV per atom
Calculated total energy ... -32.44 eV per atom
Energy of formation ... 0.85 eV per formula unit

=====

# 3
Entry from Alexandria via LeMat-Bulk: a PBEsol-optimized structure of Sc2W (meta-GGA SCAN).

Cell: 5.8240 5.8240 4.5208 Å, 90.00 90.00 130.67°
Positions (direct):
Sc 0.0793 0.9207 0.7500
Sc 0.2600 0.7400 0.2500
Sc 0.7400 0.2600 0.7500
Sc 0.9207 0.0793 0.2500
W 0.4369 0.5631 0.7500
W 0.5631 0.4369 0.2500

DOS at the Fermi energy ... 1.0028 states/eV per atom
Calculated total energy ... -32.50 eV per atom
Energy of formation ... 0.66 eV per formula unit

=====

# 4
Entry from Alexandria via LeMat-Bulk: a PBEsol-optimized structure of ScW2 (meta-GGA SCAN).

Cell: 2.8440 2.8440 7.3220 Å, 90.00 90.00 120.00°
Positions (direct):
Sc 0.0000 0.0000 0.0000
W 0.3333 0.6667 0.6599
W 0.6667 0.3333 0.3401

DOS at the Fermi energy ... 0.9430 states/eV per atom
Calculated total energy ... -50.60 eV per atom
Energy of formation ... 1.81 eV per formula unit

=====

# 5
Entry from Alexandria via LeMat-Bulk: a PBEsol-optimized structure of Sc3W (meta-GGA SCAN).

Cell: 4.2967 4.2967 4.2967 Å, 90.00 90.00 90.00°
Positions (direct):
Sc 0.0000 0.0000 0.5000
Sc 0.0000 0.5000 0.0000
Sc 0.5000 0.0000 0.0000
W 0.5000 0.5000 0.5000

DOS at the Fermi energy ... 0.6729 states/eV per atom
Calculated total energy ... -27.81 eV per atom
Energy of formation ... 1.15 eV per formula unit

=====

# 6
Entry from Alexandria via LeMat-Bulk: a PBEsol-optimized structure of Sc3W (meta-GGA SCAN).

Cell: 10.3390 10.3390 10.3390 Å, 16.85 16.85 16.85°
Positions (direct):
Sc 0.0000 0.0000 0.0000
Sc 0.2427 0.2427 0.2427
Sc 0.7573 0.7573 0.7573
W 0.5000 0.5000 0.5000

DOS at the Fermi energy ... 1.2196 states/eV per atom
Calculated total energy ... -27.72 eV per atom
Energy of formation ... 1.51 eV per formula unit

=====

# 7
Entry from Alexandria via LeMat-Bulk: a PBEsol-optimized structure of ScW (meta-GGA SCAN).

Cell: 3.0857 3.0857 9.2843 Å, 90.00 90.00 120.00°
Positions (direct):
Sc 0.3333 0.6667 0.3464
Sc 0.6667 0.3333 0.6536
W 0.3333 0.6667 0.8983
W 0.6667 0.3333 0.1017

DOS at the Fermi energy ... 1.1077 states/eV per atom
Calculated total energy ... -41.54 eV per atom
Energy of formation ... 0.84 eV per formula unit

=====

# 8
Entry from Alexandria via LeMat-Bulk: a PBEsol-optimized structure of ScW (meta-GGA SCAN).

Cell: 5.8919 5.8919 4.5674 Å, 90.00 90.00 152.65°
Positions (direct):
Sc 0.1763 0.8237 0.7500
Sc 0.8237 0.1763 0.2500
W 0.4383 0.5617 0.7500
W 0.5617 0.4383 0.2500

DOS at the Fermi energy ... 0.9102 states/eV per atom
Calculated total energy ... -41.59 eV per atom
Energy of formation ... 0.75 eV per formula unit

=====

# 9
Entry from Alexandria via LeMat-Bulk: a PBEsol-optimized structure of Sc3W (meta-GGA SCAN).

Cell: 5.3226 5.3226 2.9766 Å, 90.00 90.00 110.68°
Positions (direct):
Sc 0.0000 0.0000 0.0000
Sc 0.0000 0.5000 0.5000
Sc 0.5000 0.0000 0.5000
W 0.5000 0.5000 0.0000

DOS at the Fermi energy ... 1.0687 states/eV per atom
Calculated total energy ... -27.76 eV per atom
Energy of formation ... 1.37 eV per formula unit

=====

# 10
Entry from Alexandria via LeMat-Bulk: a PBEsol-optimized structure of ScW (meta-GGA SCAN).

Cell: 2.8910 2.8910 4.9120 Å, 90.00 90.00 120.00°
Positions (direct):
Sc 0.0000 0.0000 0.0000
W 0.6667 0.3333 0.5000

DOS at the Fermi energy ... 0.8808 states/eV per atom
Calculated total energy ... -41.46 eV per atom
Energy of formation ... 1.01 eV per formula unit

=====

# 11
Entry from Alexandria via LeMat-Bulk: a PBEsol-optimized structure of ScW (meta-GGA SCAN).

Cell: 3.2731 3.2731 3.2731 Å, 90.00 90.00 90.00°
Positions (direct):
Sc 0.0000 0.0000 0.0000
W 0.5000 0.5000 0.5000

DOS at the Fermi energy ... 1.6127 states/eV per atom
Calculated total energy ... -41.26 eV per atom
Energy of formation ... 1.40 eV per formula unit

=====

# 12
Entry from Alexandria via LeMat-Bulk: a PBEsol-optimized structure of ScW2 (meta-GGA SCAN).

Cell: 7.3260 7.3260 7.3260 Å, 158.86 158.86 30.07°
Positions (direct):
Sc 0.0000 0.0000 0.0000
W 0.3313 0.3313 0.0000
W 0.6687 0.6687 0.0000

DOS at the Fermi energy ... 0.6968 states/eV per atom
Calculated total energy ... -50.78 eV per atom
Energy of formation ... 1.26 eV per formula unit

=====

# 13
Entry from Alexandria via LeMat-Bulk: a PBEsol-optimized structure of ScW (meta-GGA SCAN).

Cell: 2.7262 4.7820 5.4419 Å, 90.00 90.00 90.00°
Positions (direct):
Sc 0.2500 0.2500 0.1109
Sc 0.7500 0.7500 0.8891
W 0.2500 0.7500 0.3948
W 0.7500 0.2500 0.6052

DOS at the Fermi energy ... 0.8036 states/eV per atom
Calculated total energy ... -41.50 eV per atom
Energy of formation ... 0.92 eV per formula unit

=====

# 14
Entry from Alexandria via LeMat-Bulk: a PBEsol-optimized structure of YScW2 (meta-GGA SCAN).

Cell: 2.9564 4.4236 6.1079 Å, 90.00 101.31 90.00°
Positions (direct):
Y 0.0000 0.0000 0.0000
Sc 0.7531 0.5000 0.3044
W 0.3009 0.5000 0.7292
W 0.4801 0.0000 0.5388

DOS at the Fermi energy ... 1.1157 states/eV per atom
Calculated total energy ... -44.96 eV per atom
Energy of formation ... 1.61 eV per formula unit

=====

# 15
Entry from Alexandria via LeMat-Bulk: a PBEsol-optimized structure of YScW2 (meta-GGA SCAN).

Cell: 2.9250 2.9250 9.8710 Å, 90.00 90.00 111.51°
Positions (direct):
Y 0.0000 0.0000 0.0000
Sc 0.5000 0.5000 0.6850
W 0.0000 0.0000 0.4542
W 0.5000 0.5000 0.2512

DOS at the Fermi energy ... 0.9968 states/eV per atom
Calculated total energy ... -44.95 eV per atom
Energy of formation ... 1.66 eV per formula unit

=====

# 16
Entry from Alexandria via LeMat-Bulk: a PBEsol-optimized structure of YScW2 (meta-GGA SCAN).

Cell: 4.7537 4.7537 4.7537 Å, 60.00 60.00 60.00°
Positions (direct):
Y 0.0000 0.0000 0.0000
Sc 0.5000 0.5000 0.5000
W 0.2500 0.2500 0.2500
W 0.7500 0.7500 0.7500

DOS at the Fermi energy ... 1.7832 states/eV per atom
Calculated total energy ... -44.46 eV per atom
Energy of formation ... 3.61 eV per formula unit

=====

# 17
Entry from Alexandria via LeMat-Bulk: a PBEsol-optimized structure of YScW2 (meta-GGA SCAN).

Cell: 5.5960 5.5960 2.7929 Å, 90.00 90.00 120.25°
Positions (direct):
Y 0.0000 0.0000 0.0000
Sc 0.5000 0.5000 0.0000
W 0.0000 0.5000 0.5000
W 0.5000 0.0000 0.5000

DOS at the Fermi energy ... 1.1677 states/eV per atom
Calculated total energy ... -44.77 eV per atom
Energy of formation ... 2.38 eV per formula unit

=====

# 18
Entry from Alexandria via LeMat-Bulk: a PBEsol-optimized structure of YScW2 (meta-GGA SCAN).

Cell: 2.7972 4.5793 5.9533 Å, 90.00 90.00 90.00°
Positions (direct):
Y 0.0000 0.0000 0.0000
Sc 0.5000 0.5000 0.2710
W 0.0000 0.0000 0.5208
W 0.5000 0.5000 0.7217

DOS at the Fermi energy ... 1.3174 states/eV per atom
Calculated total energy ... -44.69 eV per atom
Energy of formation ... 2.68 eV per formula unit

=====

# 19
Entry from Alexandria via LeMat-Bulk: a PBEsol-optimized structure of Sc2ZnW (meta-GGA SCAN).

Cell: 2.9503 3.6883 6.7064 Å, 90.00 90.00 90.00°
Positions (direct):
Sc 0.0000 0.0000 0.0000
Sc 0.5000 0.5000 0.3291
Zn 0.5000 0.5000 0.7679
W 0.0000 0.0000 0.5710

DOS at the Fermi energy ... 0.5566 states/eV per atom
Calculated total energy ... -27.72 eV per atom
Energy of formation ... 0.79 eV per formula unit

=====

# 20
Entry from Alexandria via LeMat-Bulk: a PBEsol-optimized structure of ScZn3W (meta-GGA SCAN).

Cell: 4.7295 4.7295 4.7295 Å, 90.00 90.00 90.00°
Positions (direct):
Sc 0.0000 0.0000 0.0000
Zn 0.0000 0.5000 0.5000
Zn 0.5000 0.0000 0.5000
Zn 0.5000 0.5000 0.0000
W 0.5000 0.5000 0.5000

DOS at the Fermi energy ... 0.9149 states/eV per atom
Calculated total energy ... -24.13 eV per atom
Energy of formation ... 3.83 eV per formula unit